1.
Below is a relaxed structure of NiRh, with properties calculated at the GGA-PBEsol level.

Properties
DOS at the Fermi energy   3.226 states/eV/f.u.
E_tot   -7.0981 eV/atom
Volume   12.074 Å³/atom
ΔE_f   0.0499 eV per atom

a b c (Å): 4.457 7.703 4.456
angles (deg): 90.00 108.72 90.00
Space group C2 (No. 5)
One atom of each set of equivalent atoms:
Ni1 0.000 0.000 0.000
Ni2 0.000 0.164 0.500
Ni3 0.000 0.665 0.000
Rh1 0.000 0.329 0.000
Rh2 0.000 0.501 0.500
Rh3 0.000 0.833 0.500

2.
Below is a relaxed structure of Ni2Rh, with properties calculated at the GGA-PBEsol level.

Properties
DOS at the Fermi energy   3.271 states/eV/f.u.
E_tot   -6.7164 eV/atom
Volume   11.585 Å³/atom
ΔE_f   0.1015 eV per atom

a b c (Å): 4.6207 4.6207 15.0371
angles (deg): 90.00 90.00 120.00
Space group P6_3/mmc (No. 194)
One atom of each set of equivalent atoms:
Ni1 0.0000 0.5000 0.0000
Ni2 0.1634 0.3268 0.2500
Ni3 0.3333 0.6667 0.1257
Rh1 0.0000 0.0000 0.0928
Rh2 0.3333 0.6667 0.6561

3.
Below is a relaxed structure of Ni3Rh, with properties calculated at the GGA-PBEsol level.

Properties
DOS at the Fermi energy   6.909 states/eV/f.u.
E_tot   -6.5662 eV/atom
Volume   11.430 Å³/atom
ΔE_f   0.0865 eV per atom

a b c (Å): 2.5553 2.5553 8.0854
angles (deg): 90.00 90.00 120.00
Space group P-6m2 (No. 187)
One atom of each set of equivalent atoms:
Ni1 0.0000 0.0000 0.0000
Ni2 0.3333 0.6667 0.2409
Rh1 0.0000 0.0000 0.5000

4.
Below is a relaxed structure of NiRh, with properties calculated at the GGA-PBEsol level.

Properties
DOS at the Fermi energy   3.500 states/eV/f.u.
E_tot   -7.0766 eV/atom
Volume   12.141 Å³/atom
ΔE_f   0.0714 eV per atom

a b c (Å): 13.258 2.605 4.479
angles (deg): 90.00 109.68 90.00
Space group Cm (No. 8)
One atom of each set of equivalent atoms:
Ni1 0.000 0.000 0.000
Ni2 0.001 0.500 0.495
Ni3 0.162 0.000 0.493
Rh1 0.161 0.500 0.993
Rh2 0.334 0.000 0.996
Rh3 0.334 0.500 0.500

5.
Below is a relaxed structure of Ni3Rh, with properties calculated at the GGA-PBEsol level.

Properties
DOS at the Fermi energy   6.553 states/eV/f.u.
E_tot   -6.5837 eV/atom
Volume   11.395 Å³/atom
ΔE_f   0.0690 eV per atom

a b c (Å): 2.5464 2.5464 24.3516
angles (deg): 90.00 90.00 120.00
Space group R-3m (No. 166, hexagonal axes)
One atom of each set of equivalent atoms:
Ni1 0.0000 0.0000 0.0000
Ni2 0.0000 0.0000 0.2530
Rh1 0.0000 0.0000 0.5000

6.
Below is a relaxed structure of NiRh5, with properties calculated at the GGA-PBEsol level.

Properties
DOS at the Fermi energy   8.793 states/eV/f.u.
E_tot   -7.7816 eV/atom
Volume   13.037 Å³/atom
ΔE_f   0.0267 eV per atom

a b c (Å): 2.661 3.719 7.904
angles (deg): 90.00 90.00 90.00
Space group Pmmm (No. 47)
One atom of each set of equivalent atoms:
Ni1 0.000 0.000 0.000
Rh1 0.000 0.000 0.329
Rh2 0.500 0.500 0.161
Rh3 0.500 0.500 0.500

7.
Below is a relaxed structure of NiRh, with properties calculated at the GGA-PBEsol level.

Properties
DOS at the Fermi energy   3.896 states/eV/f.u.
E_tot   -7.0817 eV/atom
Volume   12.112 Å³/atom
ΔE_f   0.0662 eV per atom

a b c (Å): 9.407 2.627 4.409
angles (deg): 90.00 117.22 90.00
Space group C2/m (No. 12)
One atom of each set of equivalent atoms:
Ni1 0.128 0.000 0.298
Rh1 0.122 0.500 0.796

8.
Below is a relaxed structure of NiRuRh2, with properties calculated at the GGA-PBEsol level.

Properties
DOS at the Fermi energy   4.958 states/eV/f.u.
Offset from the most stable computed form   23.9 meV/atom
E_tot   -8.0992 eV/atom
Volume   12.747 Å³/atom
ΔE_f   0.0525 eV per atom

a b c (Å): 8.702 2.632 4.522
angles (deg): 90.00 100.08 90.00
Space group C2/m (No. 12)
One atom of each set of equivalent atoms:
Ni1 0.000 0.000 0.000
Ru1 0.000 0.500 0.500
Rh1 0.249 0.500 0.248